The following is a DFT calculation (PBE-GGA) of a geometry-optimized PmDyGaRh structure.

Lattice parameters (Å, degrees): 5.029 5.029 5.029 60.00 60.00 60.00
Fractional positions:
1 Pm 0.000 0.000 0.000
2 Rh 0.750 0.750 0.750
3 Ga 0.250 0.250 0.250
4 Dy 0.500 0.500 0.500

Computed properties:
**Energy above the lowest structure with this stoichiometry**: 0.340 eV per formula unit
**Formation energy**: -615.9 meV/atom

=====

The following is a DFT calculation (PBE-GGA) of a geometry-optimized Na2HfSi2 structure.

Lattice parameters (Å, degrees): 6.897 6.897 4.835 90.00 90.00 90.00
Fractional positions:
1 Na 0.174 0.674 0.500
2 Na 0.674 0.826 0.500
3 Na 0.826 0.326 0.500
4 Na 0.326 0.174 0.500
5 Si 0.378 0.878 0.000
6 Si 0.878 0.622 0.000
7 Si 0.622 0.122 0.000
8 Si 0.122 0.378 0.000
9 Hf 0.000 0.000 0.000
10 Hf 0.500 0.500 0.000

Computed properties:
**Uncorrected formation energy**: 0.199 eV per atom

=====

The following is a DFT calculation (PBE-GGA) of a geometry-optimized SrPd2CO structure.

Lattice parameters (Å, degrees): 4.122 5.052 4.122 90.00 90.00 90.00
Fractional positions:
1 Sr 0.500 0.500 0.500
2 C 0.000 0.500 0.000
3 O 0.000 0.000 0.000
4 Pd 0.000 0.000 0.500
5 Pd 0.500 0.000 0.000

Computed properties:
**Uncorrected formation energy**: 0.595 eV per atom

=====

The following is a DFT calculation (PBE-GGA) of a geometry-optimized LiCa2Hf structure.

Lattice parameters (Å, degrees): 8.329 8.329 6.741 51.85 51.85 90.00
Fractional positions:
1 Ca 0.586 0.125 0.250
2 Ca 0.164 0.625 0.250
3 Ca 0.375 0.414 0.750
4 Ca 0.875 0.836 0.750
5 Hf 0.000 0.000 0.000
6 Hf 0.750 0.250 0.500
7 Li 0.500 0.500 0.000
8 Li 0.250 0.750 0.500

Computed properties:
**Energy above the lowest structure with this stoichiometry**: 0.670 eV per formula unit
**Formation energy**: 684.5 meV/atom

=====

The following is a DFT calculation (PBE-GGA) of a geometry-optimized CsRb2Nd structure.

Lattice parameters (Å, degrees): 4.189 4.189 17.155 82.99 82.99 60.00
Fractional positions:
1 Cs 0.500 0.500 0.500
2 Nd 0.000 0.000 0.000
3 Rb 0.077 0.077 0.770
4 Rb 0.923 0.923 0.230

Computed properties:
**Formation energy**: 493.1 meV/atom

=====

The following is a DFT calculation (PBE-GGA) of a geometry-optimized Tl2PdF structure.

Lattice parameters (Å, degrees): 5.816 5.816 7.894 68.39 68.39 90.00
Fractional positions:
1 Tl 0.612 0.125 0.250
2 Tl 0.138 0.625 0.250
3 Tl 0.375 0.388 0.750
4 Tl 0.875 0.862 0.750
5 Pd 0.000 0.000 0.000
6 Pd 0.750 0.250 0.500
7 F 0.500 0.500 0.000
8 F 0.250 0.750 0.500

Computed properties:
**Energy above the lowest structure with this stoichiometry**: 0.179 eV per formula unit
**Uncorrected formation energy**: -0.626 eV per atom

=====

The following is a DFT calculation (PBE-GGA) of a geometry-optimized Cd2HgRh structure.

Lattice parameters (Å, degrees): 4.249 4.244 4.178 90.00 90.00 90.00
Fractional positions:
1 Rh 0.000 0.500 0.500
2 Hg 0.500 0.000 0.500
3 Cd 0.000 0.000 0.000
4 Cd 0.500 0.500 0.000

Computed properties:
**Formation energy**: -21.4 meV/atom

=====

The following is a DFT calculation (PBE-GGA) of a geometry-optimized LaC2I structure.

Lattice parameters (Å, degrees): 5.481 5.481 7.077 67.22 67.22 90.00
Fractional positions:
1 I 0.500 0.500 0.000
2 I 0.250 0.750 0.500
3 C 0.594 0.125 0.250
4 C 0.156 0.625 0.250
5 C 0.375 0.406 0.750
6 C 0.875 0.844 0.750
7 La 0.000 0.000 0.000
8 La 0.750 0.250 0.500

Computed properties:
**Energy above the lowest structure with this stoichiometry**: 0.000 eV per formula unit
**Uncorrected formation energy**: 1.541 eV per atom

=====

The following is a DFT calculation (PBE-GGA) of a geometry-optimized BeAsAuBr2 structure.

Lattice parameters (Å, degrees): 4.374 4.374 6.492 90.00 90.00 90.00
Fractional positions:
1 Be 0.000 0.000 0.000
2 As 0.000 0.000 0.500
3 Au 0.500 0.500 0.500
4 Br 0.000 0.500 0.000
5 Br 0.500 0.000 0.000

Computed properties:
**Energy above the lowest structure with this stoichiometry**: 0.000 eV per formula unit
**Uncorrected formation energy**: 0.399 eV per atom

=====

The following is a DFT calculation (PBE-GGA) of a geometry-optimized LaTlGe2Cl8 structure.

Lattice parameters (Å, degrees): 6.943 6.419 9.210 88.01 86.54 86.34
Fractional positions:
1 La 0.000 0.000 0.000
2 Tl 0.000 0.000 0.500
3 Ge 0.461 0.465 0.758
4 Ge 0.539 0.535 0.242
5 Cl 0.192 0.779 0.217
6 Cl 0.674 0.745 0.038
7 Cl 0.855 0.267 0.220
8 Cl 0.808 0.221 0.783
9 Cl 0.326 0.255 0.962
10 Cl 0.145 0.733 0.780
11 Cl 0.643 0.723 0.427
12 Cl 0.357 0.277 0.573

Computed properties:
**Uncorrected formation energy**: -1.346 eV per atom

=====

The following is a DFT calculation (PBE-GGA) of a geometry-optimized ZrPaReAu structure.

Lattice parameters (Å, degrees): 4.886 4.886 4.886 60.00 60.00 60.00
Fractional positions:
1 Re 0.000 0.000 0.000
2 Pa 0.750 0.750 0.750
3 Au 0.500 0.500 0.500
4 Zr 0.250 0.250 0.250

Computed properties:
**Formation energy**: -119.8 meV/atom

=====

The following is a DFT calculation (PBE-GGA) of a geometry-optimized PmNdHo2 structure.

Lattice parameters (Å, degrees): 5.082 10.169 10.155 90.00 90.00 90.00
Fractional positions:
1 Pm 0.750 0.625 0.748
2 Pm 0.250 0.875 0.248
3 Pm 0.250 0.375 0.252
4 Pm 0.750 0.125 0.752
5 Nd 0.750 0.873 0.500
6 Nd 0.250 0.627 0.000
7 Nd 0.250 0.127 0.500
8 Nd 0.750 0.373 0.000
9 Ho 0.750 0.377 0.500
10 Ho 0.250 0.123 0.000
11 Ho 0.250 0.623 0.500
12 Ho 0.750 0.877 0.000
13 Ho 0.750 0.625 0.252
14 Ho 0.250 0.875 0.752
15 Ho 0.250 0.375 0.748
16 Ho 0.750 0.125 0.248

Computed properties:
**Energy above the lowest structure with this stoichiometry**: 0.030 eV per formula unit
**Formation energy**: 20.9 meV/atom

=====

The following is a DFT calculation (PBE-GGA) of a geometry-optimized Nd7Er3Tm2 structure.

Lattice parameters (Å, degrees): 5.518 6.318 12.188 89.97 90.00 90.00
Fractional positions:
1 Nd 0.500 0.246 0.455
2 Nd 0.500 0.754 0.545
3 Nd 0.000 0.442 0.186
4 Nd 0.000 0.000 0.000
5 Nd 0.000 0.558 0.814
6 Nd 0.500 0.907 0.827
7 Nd 0.500 0.093 0.173
8 Er 0.500 0.500 0.000
9 Er 0.000 0.931 0.344
10 Er 0.000 0.069 0.656
11 Tm 0.500 0.620 0.275
12 Tm 0.500 0.380 0.725

Computed properties:
**Energy above the lowest structure with this stoichiometry**: 2.201 eV per formula unit
**Formation energy**: 278.3 meV/atom

=====

The following is a DFT calculation (PBE-GGA) of a geometry-optimized CaCeF4 structure.

Lattice parameters (Å, degrees): 6.573 6.573 6.573 110.32 110.32 107.78
Fractional positions:
1 Ca 0.254 0.254 0.000
2 Ca 0.004 0.504 0.500
3 Ce 0.737 0.737 0.000
4 Ce 0.487 0.987 0.500
5 F 0.233 0.927 0.694
6 F 0.771 0.456 0.685
7 F 0.677 0.483 0.194
8 F 0.206 0.021 0.185
9 F 0.289 0.483 0.806
10 F 0.837 0.021 0.815
11 F 0.771 0.087 0.315
12 F 0.233 0.539 0.306

Computed properties:
**Uncorrected formation energy**: -3.546 eV per atom

=====

The following is a DFT calculation (PBE-GGA) of a geometry-optimized LiZnSeO4 structure.

Lattice parameters (Å, degrees): 6.126 5.990 5.990 63.09 59.25 59.25
Fractional positions:
1 Li 0.000 0.000 0.000
2 Li 0.000 0.500 0.500
3 Zn 0.500 0.000 0.500
4 Zn 0.000 0.000 0.500
5 Se 0.653 0.597 0.097
6 Se 0.347 0.403 0.903
7 O 0.755 0.780 0.710
8 O 0.245 0.790 0.720
9 O 0.755 0.210 0.280
10 O 0.245 0.220 0.290
11 O 0.303 0.720 0.220
12 O 0.756 0.720 0.220
13 O 0.244 0.280 0.780
14 O 0.697 0.280 0.780

Computed properties:
**Uncorrected formation energy**: -1.093 eV per atom

=====

The following is a DFT calculation (PBE-GGA) of a geometry-optimized LiTm4Ga12 structure.

Lattice parameters (Å, degrees): 7.441 7.441 7.441 109.47 109.47 109.47
Fractional positions:
1 Li 0.000 0.000 0.000
2 Tm 0.000 0.000 0.500
3 Tm 0.500 0.000 0.000
4 Tm 0.500 0.500 0.500
5 Tm 0.000 0.500 0.000
6 Ga 0.000 0.293 0.293
7 Ga 0.000 0.707 0.707
8 Ga 0.707 0.707 0.000
9 Ga 0.293 0.293 0.000
10 Ga 0.293 0.000 0.293
11 Ga 0.707 0.000 0.707
12 Ga 0.500 0.250 0.750
13 Ga 0.500 0.750 0.250
14 Ga 0.750 0.250 0.500
15 Ga 0.250 0.750 0.500
16 Ga 0.750 0.500 0.250
17 Ga 0.250 0.500 0.750

Computed properties:
**Formation energy**: -497.5 meV/atom

=====

The following is a DFT calculation (PBE-GGA) of a geometry-optimized TlIr structure.

Lattice parameters (Å, degrees): 8.433 13.744 5.998 90.00 90.00 90.00
Fractional positions:
1 Tl 0.325 0.000 0.000
2 Tl 0.675 0.000 0.000
3 Tl 0.925 0.750 0.250
4 Tl 0.575 0.750 0.250
5 Tl 0.325 0.500 0.500
6 Tl 0.675 0.500 0.500
7 Tl 0.925 0.250 0.750
8 Tl 0.575 0.250 0.750
9 Tl 0.825 0.000 0.500
10 Tl 0.175 0.000 0.500
11 Tl 0.425 0.750 0.750
12 Tl 0.075 0.750 0.750
13 Tl 0.825 0.500 0.000
14 Tl 0.175 0.500 0.000
15 Tl 0.425 0.250 0.250
16 Tl 0.075 0.250 0.250
17 Ir 0.000 0.910 0.000
18 Ir 0.000 0.090 0.000
19 Ir 0.250 0.840 0.250
20 Ir 0.250 0.660 0.250
21 Ir 0.000 0.410 0.500
22 Ir 0.000 0.590 0.500
23 Ir 0.250 0.340 0.750
24 Ir 0.250 0.160 0.750
25 Ir 0.500 0.910 0.500
26 Ir 0.500 0.090 0.500
27 Ir 0.750 0.840 0.750
28 Ir 0.750 0.660 0.750
29 Ir 0.500 0.410 0.000
30 Ir 0.500 0.590 0.000
31 Ir 0.750 0.340 0.250
32 Ir 0.750 0.160 0.250

Computed properties:
**Formation energy**: 568.2 meV/atom

=====

The following is a DFT calculation (PBE-GGA) of a geometry-optimized CaLaCr2In structure.

Lattice parameters (Å, degrees): 4.795 5.465 4.795 90.00 90.00 90.00
Fractional positions:
1 Cr 0.000 0.000 0.500
2 Cr 0.500 0.000 0.000
3 Ca 0.000 0.000 0.000
4 In 0.000 0.500 0.000
5 La 0.500 0.500 0.500

Computed properties:
**Formation energy**: 1572.1 meV/atom

=====

The following is a DFT calculation (PBE-GGA) of a geometry-optimized AgHgSeBr structure.

Lattice parameters (Å, degrees): 4.342 4.553 8.517 59.58 75.23 61.53
Fractional positions:
1 Ag 0.347 0.368 0.938
2 Hg 0.737 0.967 0.559
3 Se 0.670 0.761 0.899
4 Br 0.375 0.893 0.358

Computed properties:
**Uncorrected formation energy**: -0.185 eV per atom

=====

The following is a DFT calculation (PBE-GGA) of a geometry-optimized NiHS structure.

Lattice parameters (Å, degrees): 3.718 3.718 8.742 90.00 90.00 120.00
Fractional positions:
1 Ni 0.000 0.000 0.065
2 Ni 0.333 0.667 0.731
3 Ni 0.667 0.333 0.398
4 H 0.000 0.000 0.898
5 H 0.333 0.667 0.565
6 H 0.667 0.333 0.232
7 S 0.000 0.000 0.328
8 S 0.333 0.667 0.994
9 S 0.667 0.333 0.661

Computed properties:
**Final energy**: -4.4162 eV per atom

=====

The following is a DFT calculation (PBE-GGA) of a geometry-optimized TiAgBi3 structure.

Lattice parameters (Å, degrees): 5.393 5.393 5.393 90.00 90.00 90.00
Fractional positions:
1 Bi 0.000 0.500 0.000
2 Bi 0.000 0.000 0.500
3 Bi 0.500 0.000 0.000
4 Ag 0.500 0.500 0.500
5 Ti 0.000 0.000 0.000

Computed properties:
**Energy above the lowest structure with this stoichiometry**: 0.000 eV per formula unit
**Formation energy**: 347.6 meV/atom

=====

The following is a DFT calculation (PBE-GGA) of a geometry-optimized Eu2CuHg structure.

Lattice parameters (Å, degrees): 5.361 5.361 5.361 60.00 60.00 60.00
Fractional positions:
1 Eu 0.250 0.250 0.250
2 Eu 0.750 0.750 0.750
3 Hg 0.000 0.000 0.000
4 Cu 0.500 0.500 0.500

Computed properties:
**Energy above the lowest structure with this stoichiometry**: 0.076 eV per formula unit
**Formation energy**: -279.9 meV/atom

=====

The following is a DFT calculation (PBE-GGA) of a geometry-optimized La3BiIr structure.

Lattice parameters (Å, degrees): 15.106 9.977 9.977 111.57 137.06 42.94
Fractional positions:
1 Ir 0.910 0.774 0.100
2 Ir 0.590 0.600 0.274
3 Ir 0.090 0.226 0.900
4 Ir 0.410 0.400 0.726
5 Bi 0.750 0.076 0.576
6 Bi 0.250 0.924 0.424
7 Bi 0.750 0.586 0.086
8 Bi 0.250 0.414 0.914
9 La 0.295 0.522 0.356
10 La 0.205 0.856 0.022
11 La 0.705 0.478 0.644
12 La 0.795 0.144 0.978
13 La 0.143 0.293 0.233
14 La 0.357 0.733 0.793
15 La 0.857 0.707 0.767
16 La 0.643 0.267 0.207
17 La 0.511 0.034 0.813
18 La 0.989 0.313 0.534
19 La 0.489 0.966 0.187
20 La 0.011 0.687 0.466

Computed properties:
**Energy above the lowest structure with this stoichiometry**: 0.608 eV per formula unit
**Formation energy**: -707.6 meV/atom